This record from Alexandria describes a relaxed structure of TlWCO2. The functional is GGA+U.

Structure (extended XYZ):
```
5
Lattice="3.818 0.000 0.000 0.000 3.818 0.000 0.000 0.000 7.822" Properties=species:S:1:pos:R:3 pbc="T T T"
Tl 0.000 0.000 0.000
W 0.000 0.000 3.911
C 1.909 1.909 3.911
O 0.000 1.909 0.000
O 1.909 0.000 0.000
```

Output
The value obtained for the density of states at the Fermi level is 2.55 states/eV/cell. For the total energy, the calculation gives -18.18 eV for the cell shown.